The following is a PBE-GGA calculation of a relaxed structure of Ac4TlCdAg2, from Alexandria.

The space group is No. 166. The total energy comes out at -3.46 eV/atom. Its density of states at the Fermi level is 7.40 states/eV per cell. The magnetization comes out at 0.00 μB/f.u.

Lattice parameters (Å, degrees): 9.9165 9.9165 9.9165 33.40 33.40 33.40
Closest atoms and distances in Å follow each position.
Sites, in units of the cell vectors:
Ac: 0.1238 0.1238 0.1238  1 Cd 3.47, 4 Ag 3.49-3.58, 3 Tl 3.50
Ac: 0.3741 0.3741 0.3741  4 Ag 3.45-3.49, 3 Cd 3.48, 1 Tl 3.53
Ac: 0.6259 0.6259 0.6259  4 Ag 3.45-3.49, 3 Cd 3.48, 1 Tl 3.53
Ac: 0.8762 0.8762 0.8762  1 Cd 3.47, 4 Ag 3.49-3.58, 3 Tl 3.50
Tl: 0.5000 0.5000 0.5000  8 Ac 3.50-3.53
Cd: 0.0000 0.0000 0.0000  8 Ac 3.47-3.48
Ag: 0.2513 0.2513 0.2513  8 Ac 3.45-3.58
Ag: 0.7487 0.7487 0.7487  8 Ac 3.45-3.58

=====

The following is a PBE-GGA calculation of a relaxed structure of ZnIn2Si, from Alexandria.

The space group is No. 139. The formation energy from raw total energies is 0.2908 eV/atom. Its density of states at the Fermi level is 1.01 states/eV per cell. The magnetization comes out at 0.00 μB/f.u.

Lattice parameters (Å, degrees): 5.1135 5.1135 5.1135 125.54 125.54 80.65
Closest atoms and distances in Å follow each position.
Sites, in units of the cell vectors:
Zn: 0.0000 0.0000 0.0000  8 In 3.05, 4 Si 3.31
In: 0.2500 0.7500 0.5000  4 Si 3.05, 4 Zn 3.05, 4 In 3.31
In: 0.7500 0.2500 0.5000  4 Si 3.05, 4 Zn 3.05, 4 In 3.31
Si: 0.5000 0.5000 0.0000  8 In 3.05, 4 Zn 3.31

=====

The following is a PBE-GGA calculation of a relaxed structure of Li2AcNdPb2, from Alexandria.

The space group is No. 164. The total energy comes out at -3.89 eV/atom. Its density of states at the Fermi level is 1.71 states/eV per cell. The magnetization comes out at 0.00 μB/f.u.

Lattice parameters (Å, degrees): 4.9065 4.9065 8.1059 90.00 90.00 120.00
Closest atoms and distances in Å follow each position.
Sites, in units of the cell vectors:
Li: 0.3333 0.6667 0.2026  3 Pb 2.84
Li: 0.6667 0.3333 0.7974  3 Pb 2.84
Ac: 0.0000 0.0000 0.5000  6 Pb 3.57, 6 Li 3.72
Nd: 0.0000 0.0000 0.0000  6 Li 3.27, 6 Pb 3.40
Pb: 0.3333 0.6667 0.7680  3 Li 2.84
Pb: 0.6667 0.3333 0.2320  3 Li 2.84

=====

The following is a PBE-GGA calculation of a relaxed structure of GeAs, from Alexandria.

The space group is No. 166. The total energy comes out at -4.53 eV/atom. Its density of states at the Fermi level is 0.57 states/eV per cell. The magnetization comes out at 0.00 μB/f.u.

Lattice parameters (Å, degrees): 6.4723 6.4723 6.4723 39.88 39.88 39.88
Closest atoms and distances in Å follow each position.
Sites, in units of the cell vectors:
Ge: 0.1140 0.1140 0.1140  4 As 2.56-2.64
Ge: 0.8860 0.8860 0.8860  4 As 2.56-2.64
As: 0.2572 0.2572 0.2572  4 Ge 2.56-2.64
As: 0.7428 0.7428 0.7428  4 Ge 2.56-2.64